[1]
Computed, not measured: crystalline CsCSO3F3 at its relaxed geometry at the PBE-GGA level of DFT.

Results
magnetic moment = 0.000 μB/f.u.
crystal system = monoclinic
E_form (uncorrected) = -1.642 eV/atom
N(E_F) = 0.0000 states/eV per atom

Cell lengths 5.5797, 6.1963, 9.9717 Å; angles 90.00, 104.41, 90.00 degrees
Last column: nearest neighbours and their distance in Å.
Space group P2_1 (No. 4)
One atom of each set of equivalent atoms:
Cs 0.0539 0.0000 0.1646  7 O 3.10-3.47, 1 F 3.37
C 0.3557 0.9152 0.6363  3 F 1.36
S 0.4120 0.0359 0.8134  3 O 1.46
O 0.1871 0.9818 0.8567  1 S 1.46
O 0.3641 0.4251 0.1112  1 S 1.46
O 0.4415 0.2655 0.7884  1 S 1.46
F 0.1594 0.0083 0.5463  1 C 1.36
F 0.3080 0.6997 0.6407  1 C 1.36
F 0.4430 0.4385 0.4159  1 C 1.36

[2]
Computed, not measured: crystalline MgZnPtAu at its relaxed geometry at the PBE-GGA level of DFT.

Results
magnetic moment = 0.000 μB/f.u.
crystal system = tetragonal
E_form = -2.2 eV per formula unit
N(E_F) = 0.3186 states/eV per atom

Cell lengths 4.1543, 4.1543, 7.4070 Å; angles 90.00, 90.00, 90.00 degrees
Last column: nearest neighbours and their distance in Å.
Space group I-4m2 (No. 119)
One atom of each set of equivalent atoms:
Mg 0.0000 0.0000 0.0000  4 Pt 2.78, 4 Au 2.78, 4 Zn 2.94
Zn 0.0000 0.0000 0.5000  4 Pt 2.78, 4 Au 2.78, 4 Mg 2.94
Pt 0.0000 0.5000 0.7500  4 Mg 2.78, 4 Zn 2.78, 4 Au 2.94
Au 0.0000 0.5000 0.2500  4 Mg 2.78, 4 Zn 2.78, 4 Pt 2.94